A plane-wave DFT calculation with PBE was carried out for a relaxed PaAgBi2 crystal.

density = 12.08 g/cm³
space-group type = P4/mmm, No. 123
total energy = -5.1752 eV/atom

a = 4.1536 Å, b = 5.0047 Å, c = 5.0047 Å
α = 90.00°, β = 90.00°, γ = 90.00°
Closest atoms and distances in Å follow each position.
Element x y z (fractional)
Pa (0.5000, 0.0000, 0.0000)  8 Bi 3.25, 4 Ag 3.54
Ag (0.5000, 0.5000, 0.5000)  8 Bi 3.25, 4 Pa 3.54
Bi (0.0000, 0.0000, 0.5000)  4 Pa 3.25, 4 Ag 3.25, 4 Bi 3.54
Bi (0.0000, 0.5000, 0.0000)  4 Pa 3.25, 4 Ag 3.25, 4 Bi 3.54